The following is a GGA-PBE calculation of crystalline YTmNi2Ge4 at its relaxed geometry, from OQMD.

Cell: 4.183 8.594 8.594 Å, 27.34 90.00 90.00°
Fractional positions:
Ge  0.000  0.252  0.252
Ge  0.500  0.459  0.459
Ge  0.000  0.540  0.540
Ge  0.500  0.749  0.749
Ni  0.500  0.322  0.322
Ni  0.000  0.678  0.678
Tm  0.000  0.891  0.891
Y  0.500  0.108  0.108

---

The following is a GGA-PBE calculation of crystalline AcTmO3 at its relaxed geometry, from OQMD.

Cell: 5.971 5.971 5.971 Å, 60.97 60.97 60.97°
Fractional positions:
Ac  0.250  0.250  0.250
Ac  0.750  0.750  0.750
O  0.750  0.348  0.152
O  0.652  0.848  0.250
O  0.152  0.750  0.348
O  0.848  0.250  0.652
O  0.348  0.152  0.750
O  0.250  0.652  0.848
Tm  0.000  0.000  0.000
Tm  0.500  0.500  0.500

---

The following is a GGA-PBE calculation of crystalline ZnAsPtO at its relaxed geometry, from OQMD.

Cell: 4.038 4.038 8.868 Å, 90.00 90.00 90.00°
Fractional positions:
As  0.750  0.750  0.333
As  0.250  0.250  0.667
O  0.750  0.250  0.000
O  0.250  0.750  0.000
Pt  0.750  0.250  0.500
Pt  0.250  0.750  0.500
Zn  0.750  0.750  0.030
Zn  0.250  0.250  0.970

---

Number 1: M_tot 0.00 μB per cell, energy -5.751 eV/atom. Number 2: M_tot 0.00 μB per cell, energy -8.168 eV/atom. Number 3: M_tot 0.01 μB per cell, energy -4.839 eV/atom.